No. 1
DFT (PBE) results for crystalline ErAg2Sb at its relaxed geometry.

Output
Mass density = 8.67 g/cm³
Crystal system = trigonal
Uncorrected formation energy = 25 kJ per mole of atoms
Size of the total moment = 0.000 μB/atom
Energy = -13.35 eV/cell

Cell lengths 3.2130, 3.2130, 10.9701 Å; angles 81.58, 81.58, 60.00 degrees
Sites, in units of the cell vectors:
Sb  0.5000  0.5000  0.5000
Ag  0.0895  0.0895  0.7314
Ag  0.9105  0.9105  0.2686
Er  0.0000  0.0000  0.0000

=====

No. 2
DFT (PBE) results for crystalline LaFe2Pb at its relaxed geometry.

Output
Mass density = 7.96 g/cm³
Crystal system = orthorhombic
Size of the total moment = 1.054 μB/atom
Energy = -24.07 eV/cell
Formation energy from the elements = 372 meV/atom

Cell lengths 4.3718, 3.9224, 5.5659 Å; angles 90.01, 90.00, 90.00 degrees
Site moments in Bohr magnetons follow the coordinates.
Sites, in units of the cell vectors:
Fe  0.0000  0.7497  0.0457  2.35
Fe  0.0000  0.7503  0.4543  2.35
La  0.5000  0.2500  0.2500  -0.23
Pb  0.5000  0.7500  0.7500  -0.07

=====

No. 3
DFT (PBE) results for crystalline MgPaI2 at its relaxed geometry.

Output
Mass density = 6.74 g/cm³
Crystal system = trigonal
Uncorrected formation energy = -2 kJ per mole of atoms
Size of the total moment = 0.447 μB/atom
Energy = -14.26 eV/cell

Cell lengths 3.7912, 3.7912, 10.3100 Å; angles 79.41, 79.41, 60.00 degrees
Site moments in Bohr magnetons follow the coordinates.
Sites, in units of the cell vectors:
I  0.1050  0.1050  0.6851  0.00
I  0.8950  0.8950  0.3149  0.00
Mg  0.5000  0.5000  0.5000  0.00
Pa  0.0000  0.0000  0.0000  1.40

=====

No. 4
DFT (PBE) results for crystalline RuN2 at its relaxed geometry.

Output
Mass density = 8.17 g/cm³
Crystal system = tetragonal
Uncorrected formation energy = 82 kJ per mole of atoms
Size of the total moment = 0.000 μB/atom
Energy = -46.74 eV/cell

Cell lengths 4.4173, 4.4173, 2.6882 Å; angles 90.00, 90.00, 90.00 degrees
Sites, in units of the cell vectors:
Ru  0.5000  0.5000  0.0000
Ru  0.0000  0.0000  0.0000
N  0.3946  0.8946  0.5000
N  0.6054  0.1054  0.5000
N  0.1054  0.3946  0.5000
N  0.8946  0.6054  0.5000

=====

No. 5
DFT (PBE) results for crystalline CrIn3N3 at its relaxed geometry.

Output
Mass density = 5.11 g/cm³
Crystal system = hexagonal
Uncorrected formation energy = 26 kJ per mole of atoms
E above lowest polymorph = 32 meV per atom
Size of the total moment = 0.000 μB/atom
Energy = -81.86 eV/cell

Cell lengths 9.7481, 9.7481, 3.4603 Å; angles 90.00, 90.00, 120.00 degrees
Sites, in units of the cell vectors:
Cr  0.6667  0.3333  0.7500
Cr  0.3333  0.6667  0.2500
In  0.9729  0.6527  0.2500
In  0.6798  0.0271  0.2500
In  0.3473  0.3202  0.2500
In  0.0271  0.3473  0.7500
In  0.3202  0.9729  0.7500
In  0.6527  0.6798  0.7500
N  0.8662  0.4661  0.7500
N  0.5999  0.1338  0.7500
N  0.5339  0.4001  0.7500
N  0.1338  0.5339  0.2500
N  0.4001  0.8662  0.2500
N  0.4661  0.5999  0.2500

=====

No. 6
DFT (PBE) results for crystalline Cu3TePt at its relaxed geometry.

Output
Mass density = 8.05 g/cm³
Crystal system = cubic
Uncorrected formation energy = 90 kJ per mole of atoms
E above lowest polymorph = 277 meV per atom
Size of the total moment = 0.000 μB/atom
Energy = -16.80 eV/cell

Cell lengths 4.7316, 4.7316, 4.7316 Å; angles 90.00, 90.00, 90.00 degrees
Sites, in units of the cell vectors:
Te  0.0000  0.0000  0.0000
Cu  0.0000  0.5000  0.0000
Cu  0.0000  0.0000  0.5000
Cu  0.5000  0.0000  0.0000
Pt  0.5000  0.5000  0.5000

=====

No. 7
DFT (PBE) results for crystalline Zn3N2 at its relaxed geometry.

Output
Mass density = 6.34 g/cm³
Crystal system = trigonal
Uncorrected formation energy = 17 kJ per mole of atoms
E above lowest polymorph = 62 meV per atom
Size of the total moment = 0.000 μB/atom
Energy = -39.14 eV/cell

Cell lengths 5.3360, 5.3360, 5.6746 Å; angles 61.96, 61.96, 60.00 degrees
Sites, in units of the cell vectors:
Zn  0.0559  0.7500  0.7500
Zn  0.7500  0.4441  0.7500
Zn  0.4441  0.0559  0.7500
Zn  0.2500  0.5559  0.2500
Zn  0.5559  0.9441  0.2500
Zn  0.9441  0.2500  0.2500
N  0.8580  0.8580  0.4261
N  0.3580  0.3580  0.9261
N  0.1420  0.1420  0.5739
N  0.6420  0.6420  0.0739

=====

No. 8
DFT (PBE) results for crystalline Se2N2Cl at its relaxed geometry.

Output
Mass density = 3.39 g/cm³
Crystal system = tetragonal
Uncorrected formation energy = 199 kJ per mole of atoms
E above lowest polymorph = 1685 meV per atom
Size of the total moment = 0.195 μB/atom
Energy = -15.14 eV/cell

Cell lengths 3.7187, 3.7187, 7.8499 Å; angles 90.00, 90.00, 90.00 degrees
Site moments in Bohr magnetons follow the coordinates.
Sites, in units of the cell vectors:
N  0.0000  0.5000  0.0000  0.34
N  0.5000  0.0000  0.0000  0.34
Se  0.5000  0.5000  0.5000  0.02
Se  0.0000  0.0000  0.5000  0.02
Cl  0.0000  0.0000  0.0000  -0.03

=====

No. 9
DFT (PBE) results for crystalline SiSnMo2 at its relaxed geometry.

Output
Mass density = 7.50 g/cm³
Crystal system = tetragonal
Uncorrected formation energy = 47 kJ per mole of atoms
E above lowest polymorph = 234 meV per atom
Size of the total moment = 0.000 μB/atom
Energy = -58.30 eV/cell

Cell lengths 4.0060, 4.0060, 9.7673 Å; angles 78.17, 78.17, 90.00 degrees
Sites, in units of the cell vectors:
Mo  0.5610  0.1250  0.2500
Mo  0.1890  0.6250  0.2500
Mo  0.3750  0.4390  0.7500
Mo  0.8750  0.8110  0.7500
Si  0.5000  0.5000  0.0000
Si  0.2500  0.7500  0.5000
Sn  0.0000  0.0000  0.0000
Sn  0.7500  0.2500  0.5000

=====

No. 10
DFT (PBE) results for crystalline Co3OsSe at its relaxed geometry.

Output
Mass density = 8.08 g/cm³
Crystal system = cubic
Uncorrected formation energy = 144 kJ per mole of atoms
E above lowest polymorph = 281 meV per atom
Size of the total moment = 0.772 μB/atom
Energy = -28.57 eV/cell

Cell lengths 4.5092, 4.5092, 4.5092 Å; angles 90.00, 90.00, 90.00 degrees
Site moments in Bohr magnetons follow the coordinates.
Sites, in units of the cell vectors:
Co  0.0000  0.5000  0.0000  1.24
Co  0.0000  0.0000  0.5000  1.32
Co  0.5000  0.0000  0.0000  0.90
Os  0.0000  0.0000  0.0000  0.15
Se  0.5000  0.5000  0.5000  0.12

=====

No. 11
DFT (PBE) results for crystalline InBi2O6 at its relaxed geometry.

Output
Mass density = 9.46 g/cm³
Crystal system = trigonal
Uncorrected formation energy = -86 kJ per mole of atoms
E above lowest polymorph = 163 meV per atom
Size of the total moment = 0.000 μB/atom
Energy = -48.24 eV/cell

Cell lengths 3.7139, 5.8568, 5.8568 Å; angles 120.00, 90.00, 90.00 degrees
Sites, in units of the cell vectors:
In  0.5000  0.0000  0.0000
Bi  0.2349  0.6667  0.3333
Bi  0.7651  0.3333  0.6667
O  0.2547  0.6241  0.6960
O  0.2547  0.0719  0.3759
O  0.2547  0.3040  0.9281
O  0.7453  0.3759  0.3040
O  0.7453  0.9281  0.6241
O  0.7453  0.6960  0.0719